1.
{"formula": "CaSn2Pd", "functional": "GGA-PBE", "state": "optimized geometry", "lattice_angstrom": [[16.914, 0.000, 0.000], [0.000, 7.438, 0.000], [0.000, 0.000, 6.057]], "species": ["Ca", "Ca", "Ca", "Ca", "Ca", "Ca", "Ca", "Ca", "Sn", "Sn", "Sn", "Sn", "Sn", "Sn", "Sn", "Sn", "Sn", "Sn", "Sn", "Sn", "Sn", "Sn", "Sn", "Sn", "Pd", "Pd", "Pd", "Pd", "Pd", "Pd", "Pd", "Pd"], "frac_coords": [[0.111, 0.250, 0.241], [0.143, 0.750, 0.481], [0.357, 0.250, 0.981], [0.389, 0.750, 0.741], [0.611, 0.250, 0.259], [0.643, 0.750, 0.019], [0.857, 0.250, 0.519], [0.889, 0.750, 0.759], [0.030, 0.043, 0.746], [0.030, 0.457, 0.746], [0.218, 0.547, 0.978], [0.218, 0.953, 0.978], [0.282, 0.047, 0.478], [0.282, 0.453, 0.478], [0.470, 0.543, 0.246], [0.470, 0.957, 0.246], [0.530, 0.043, 0.754], [0.530, 0.457, 0.754], [0.718, 0.547, 0.522], [0.718, 0.953, 0.522], [0.782, 0.047, 0.022], [0.782, 0.453, 0.022], [0.970, 0.543, 0.254], [0.970, 0.957, 0.254], [0.079, 0.750, 0.006], [0.164, 0.250, 0.724], [0.336, 0.750, 0.224], [0.421, 0.250, 0.506], [0.579, 0.750, 0.494], [0.664, 0.250, 0.776], [0.836, 0.750, 0.276], [0.921, 0.250, 0.994]], "volume_a3_per_fu": 95.2, "total_energy_ev_per_fu": -17.767, "sg": "Pnma (62)"}


2.
{"formula": "AcHo2ThSb4", "functional": "GGA-PBE", "state": "optimized geometry", "lattice_angstrom": [[7.763, 0.000, 0.000], [0.000, 4.514, 0.000], [-2.616, 0.000, 7.390]], "species": ["Ac", "Ho", "Ho", "Th", "Sb", "Sb", "Sb", "Sb"], "frac_coords": [[0.000, 0.000, 0.000], [0.500, 0.000, 0.500], [0.500, 0.500, 0.000], [0.000, 0.500, 0.500], [0.264, 0.000, 0.747], [0.269, 0.500, 0.264], [0.731, 0.500, 0.736], [0.736, 0.000, 0.253]], "volume_a3_per_fu": 259.0, "total_energy_ev_per_fu": -45.805, "sg": "P2/m (10)"}


3.
{"formula": "BaTh2IrN4", "functional": "GGA-PBE", "state": "optimized geometry", "lattice_angstrom": [[1.880, -6.135, 0.000], [1.880, 6.135, 0.000], [0.000, 0.000, 12.602]], "species": ["Ba", "Ba", "Th", "Th", "Th", "Th", "Ir", "Ir", "N", "N", "N", "N", "N", "N", "N", "N"], "frac_coords": [[0.079, 0.921, 0.750], [0.921, 0.079, 0.250], [0.365, 0.635, 0.553], [0.365, 0.635, 0.947], [0.635, 0.365, 0.053], [0.635, 0.365, 0.447], [0.187, 0.813, 0.250], [0.813, 0.187, 0.750], [0.000, 0.000, 0.000], [0.000, 0.000, 0.500], [0.252, 0.748, 0.100], [0.252, 0.748, 0.400], [0.391, 0.609, 0.750], [0.609, 0.391, 0.250], [0.748, 0.252, 0.600], [0.748, 0.252, 0.900]], "volume_a3_per_fu": 145.4, "total_energy_ev_per_fu": -66.404, "sg": "Cmcm (63)"}


4.
{"formula": "MnSe3I", "functional": "GGA-PBE", "state": "optimized geometry", "lattice_angstrom": [[4.786, 0.000, 0.000], [0.000, 4.786, 0.000], [0.000, 0.000, 4.786]], "species": ["Mn", "Se", "Se", "Se", "I"], "frac_coords": [[0.000, 0.000, 0.000], [0.000, 0.000, 0.500], [0.000, 0.500, 0.000], [0.500, 0.000, 0.000], [0.500, 0.500, 0.500]], "volume_a3_per_fu": 109.6, "polymorph_energy_ev_per_atom": 0.000, "total_energy_ev_per_fu": -19.454, "sg": "Pm-3m (221)"}


5.
{"formula": "Ho5InIr4", "functional": "GGA-PBE", "state": "optimized geometry", "lattice_angstrom": [[3.478, 0.000, 0.000], [0.000, 3.478, 0.000], [0.000, 0.000, 17.467]], "species": ["Ho", "Ho", "Ho", "Ho", "Ho", "In", "Ir", "Ir", "Ir", "Ir"], "frac_coords": [[0.000, 0.000, 0.000], [0.000, 0.000, 0.190], [0.000, 0.000, 0.378], [0.000, 0.000, 0.622], [0.000, 0.000, 0.810], [0.500, 0.500, 0.500], [0.500, 0.500, 0.095], [0.500, 0.500, 0.288], [0.500, 0.500, 0.712], [0.500, 0.500, 0.905]], "volume_a3_per_fu": 211.3, "total_energy_ev_per_fu": -68.820, "sg": "P4/mmm (123)"}


6.
{"formula": "In2GaAg9", "functional": "GGA-PBE", "state": "optimized geometry", "lattice_angstrom": [[4.239, 0.000, 0.000], [0.000, 4.239, 0.000], [0.000, 0.000, 12.294]], "species": ["In", "In", "Ga", "Ag", "Ag", "Ag", "Ag", "Ag", "Ag", "Ag", "Ag", "Ag"], "frac_coords": [[0.000, 0.000, 0.170], [0.000, 0.000, 0.830], [0.000, 0.000, 0.500], [0.000, 0.500, 0.000], [0.000, 0.500, 0.341], [0.000, 0.500, 0.659], [0.500, 0.000, 0.000], [0.500, 0.000, 0.341], [0.500, 0.000, 0.659], [0.500, 0.500, 0.171], [0.500, 0.500, 0.500], [0.500, 0.500, 0.829]], "volume_a3_per_fu": 220.9, "total_energy_ev_per_fu": -34.205, "sg": "P4/mmm (123)"}


7.
{"formula": "HoEr2Nb", "functional": "GGA-PBE", "state": "optimized geometry", "lattice_angstrom": [[1.638, 0.945, 11.488], [-1.638, 0.945, 11.488], [0.000, -1.891, 11.488]], "species": ["Ho", "Er", "Er", "Nb"], "frac_coords": [[0.000, 0.000, 0.000], [0.416, 0.416, 0.416], [0.584, 0.584, 0.584], [0.500, 0.500, 0.500]], "volume_a3_per_fu": 106.7, "total_energy_ev_per_fu": -21.720, "sg": "R-3m (166)"}


8.
{"formula": "Li2ZnCdIn", "functional": "GGA-PBE", "state": "optimized geometry", "lattice_angstrom": [[5.690, 0.000, 0.000], [0.000, 4.595, 0.000], [-1.294, 0.000, 7.078]], "species": ["Li", "Li", "Li", "Li", "Zn", "Zn", "Cd", "Cd", "In", "In"], "frac_coords": [[0.148, 0.250, 0.030], [0.325, 0.250, 0.446], [0.675, 0.750, 0.554], [0.852, 0.750, 0.970], [0.053, 0.750, 0.344], [0.947, 0.250, 0.656], [0.428, 0.750, 0.162], [0.572, 0.250, 0.838], [0.235, 0.750, 0.737], [0.765, 0.250, 0.263]], "volume_a3_per_fu": 92.5, "total_energy_ev_per_fu": -9.821, "sg": "P2_1/m (11)"}


9.
{"formula": "Zr2PW", "functional": "GGA-PBE", "state": "optimized geometry", "lattice_angstrom": [[4.205, 0.000, 0.000], [0.000, 1.771, 5.036], [0.000, -1.771, 5.036]], "species": ["Zr", "Zr", "P", "W"], "frac_coords": [[0.000, 0.000, 0.000], [0.500, 0.284, 0.284], [0.500, 0.566, 0.566], [0.000, 0.722, 0.722]], "volume_a3_per_fu": 75.0, "total_energy_ev_per_fu": -37.304, "sg": "Amm2 (38)"}


10.
{"formula": "NaZn4In8", "functional": "GGA-PBE", "state": "optimized geometry", "lattice_angstrom": [[-5.379, 5.379, 2.677], [5.379, -5.379, 2.677], [5.379, 5.379, -2.677]], "species": ["Na", "Zn", "Zn", "Zn", "Zn", "In", "In", "In", "In", "In", "In", "In", "In"], "frac_coords": [[0.000, 0.000, 0.000], [0.000, 0.000, 0.500], [0.000, 0.500, 0.000], [0.500, 0.000, 0.000], [0.500, 0.500, 0.500], [0.000, 0.350, 0.350], [0.000, 0.650, 0.650], [0.293, 0.500, 0.793], [0.350, 0.000, 0.350], [0.500, 0.293, 0.793], [0.500, 0.707, 0.207], [0.650, 0.000, 0.650], [0.707, 0.500, 0.207]], "volume_a3_per_fu": 309.8, "total_energy_ev_per_fu": -28.006, "sg": "I4/mmm (139)"}


11.
{"formula": "SmAlCu2Ni2", "functional": "GGA-PBE", "state": "optimized geometry", "lattice_angstrom": [[4.304, 0.000, 0.000], [0.000, 4.304, 0.000], [0.000, 0.000, 5.596]], "species": ["Sm", "Al", "Cu", "Cu", "Ni", "Ni"], "frac_coords": [[0.000, 0.000, 0.000], [0.000, 0.000, 0.500], [0.500, 0.500, 0.249], [0.500, 0.500, 0.751], [0.000, 0.500, 0.500], [0.500, 0.000, 0.500]], "volume_a3_per_fu": 103.7, "total_energy_ev_per_fu": -27.371, "sg": "P4/mmm (123)"}


12.
{"formula": "PmDyHoTm", "functional": "GGA-PBE", "state": "optimized geometry", "lattice_angstrom": [[0.000, 4.003, 4.003], [4.003, 0.000, 4.003], [4.003, 4.003, 0.000]], "species": ["Pm", "Dy", "Ho", "Tm"], "frac_coords": [[0.000, 0.000, 0.000], [0.500, 0.500, 0.500], [0.750, 0.750, 0.750], [0.250, 0.250, 0.250]], "volume_a3_per_fu": 128.3, "polymorph_energy_ev_per_atom": 0.106, "total_energy_ev_per_fu": -17.897, "sg": "F-43m (216)"}


Q: Which formula does entry 4 have?
A: MnSe3I